Density functional theory data (PBE) for a relaxed Cu2NiRu crystal.

Cell: 5.2932 5.2932 5.2932 Å, 102.41 102.41 124.77°
Fractional positions:
1 Cu 0.1083 0.1250 0.4833
2 Cu 0.3750 0.8917 0.0167
3 Cu 0.6417 0.6250 0.5167
4 Cu 0.8750 0.3583 0.9833
5 Ni 0.0000 0.0000 0.0000
6 Ni 0.7500 0.2500 0.5000
7 Ru 0.2500 0.7500 0.5000
8 Ru 0.5000 0.5000 0.0000

Computed properties:
formation energy from the elements = 15.42 kcal/mol of atoms
raw total energy = -5.144 eV/atom
energy relative to the lowest polymorph listed for this composition = 550.9 meV/atom